SrAgCl2: relaxed, GGA-PBE.

Summary:
Space group: I-42d, No. 122
Formation energy from raw total energies (kJ per mole of atoms): -111.3

extended XYZ file:
```
8
Lattice="-2.7303 2.7303 8.6070 2.7303 -2.7303 8.6070 2.7303 2.7303 -8.6070" Properties=species:S:1:pos:R:3 pbc="T T T"
Sr 0.0000 0.0000 0.0000
Sr 0.0000 2.7303 4.3035
Ag 2.7303 0.0000 4.3035
Ag 0.0000 0.0000 8.6070
Cl 4.0954 1.3535 -2.1518
Cl 1.3535 1.3651 2.1518
Cl -1.3651 1.3768 6.4553
Cl 1.3768 1.3651 10.7588
```



RbCo3Sn: relaxed, GGA-PBE.

Summary:
Space group: Pm-3m, No. 221
Energy of formation from the pure elements (eV/atom): 1.16

extended XYZ file:
```
5
Lattice="5.0075 0.0000 0.0000 0.0000 5.0075 0.0000 0.0000 0.0000 5.0075" Properties=species:S:1:pos:R:3 pbc="T T T"
Rb 0.0000 0.0000 0.0000
Co 0.0000 2.5037 2.5037
Co 2.5037 0.0000 2.5037
Co 2.5037 2.5037 0.0000
Sn 2.5037 2.5037 2.5037
```



RbLi4Pb: relaxed, GGA-PBE.

Summary:
Space group: F-43m, No. 216
Energy of formation from the pure elements (eV/atom): -0.02

extended XYZ file:
```
6
Lattice="0.0000 4.2342 4.2342 4.2342 0.0000 4.2342 4.2342 4.2342 0.0000" Properties=species:S:1:pos:R:3 pbc="T T T"
Rb 0.0000 0.0000 0.0000
Li 3.2072 3.2072 3.2072
Li 5.2613 5.2613 3.2072
Li 5.2613 3.2072 5.2613
Li 3.2072 5.2613 5.2613
Pb 6.3514 6.3514 6.3514
```



CeGePb2: relaxed, GGA-PBE.

Summary:
Space group: R-3m, No. 166
Energy of formation from the pure elements (eV/atom): 0.26

extended XYZ file:
```
4
Lattice="1.7258 0.9964 11.4711 -1.7258 0.9964 11.4711 0.0000 -1.9928 11.4711" Properties=species:S:1:pos:R:3 pbc="T T T"
Ce 0.0000 0.0000 0.0000
Ge 0.0000 0.0000 17.2067
Pb 0.0000 0.0000 3.2879
Pb 0.0000 0.0000 31.1254
```



Y2TmGa6: relaxed, GGA-PBE.

Summary:
Space group: Immm, No. 71
Energy of formation from the pure elements (eV/atom): -0.45

extended XYZ file:
```
9
Lattice="-2.1429 3.4653 6.7197 2.1429 -3.4653 6.7197 2.1429 3.4653 -6.7197" Properties=species:S:1:pos:R:3 pbc="T T T"
Y 0.0000 0.0000 1.6842
Y 0.0000 0.0000 11.7552
Tm 0.0000 3.4653 0.0000
Ga 2.1429 2.1388 -2.4745
Ga 2.1429 1.3388 0.0000
Ga 2.1429 2.1388 2.4745
Ga 0.0000 1.3266 4.2452
Ga 0.0000 2.1265 6.7197
Ga 0.0000 1.3266 9.1942
```



TaTePtSe2: relaxed, GGA-PBE.

Summary:
Space group: P4/mmm, No. 123
Formation energy from raw total energies (kJ per mole of atoms): 32.5

extended XYZ file:
```
5
Lattice="4.8957 0.0000 0.0000 0.0000 4.8957 0.0000 0.0000 0.0000 5.2508" Properties=species:S:1:pos:R:3 pbc="T T T"
Ta 0.0000 0.0000 0.0000
Te 2.4478 2.4478 2.6254
Pt 0.0000 0.0000 2.6254
Se 0.0000 2.4478 0.0000
Se 2.4478 0.0000 0.0000
```



SmZnGa3: relaxed, GGA-PBE.

Summary:
Space group: Pmma, No. 51
Energy of formation from the pure elements (eV/atom): -0.21

extended XYZ file:
```
10
Lattice="5.6700 0.0000 0.0000 0.0000 3.0821 0.0000 0.0000 0.0000 11.9009" Properties=species:S:1:pos:R:3 pbc="T T T"
Sm 1.4175 0.0000 2.3240
Sm 4.2525 0.0000 9.5769
Zn 1.4175 1.5410 9.5336
Zn 4.2525 1.5410 2.3673
Ga 0.0000 1.5410 0.0000
Ga 0.0332 1.5410 4.6773
Ga 2.8019 1.5410 4.6773
Ga 2.8350 1.5410 0.0000
Ga 2.8682 1.5410 7.2236
Ga 5.6369 1.5410 7.2236
```



Na3Ag: relaxed, GGA-PBE.

Summary:
Space group: Imm2, No. 44
Energy of formation from the pure elements (eV/atom): 0.03

extended XYZ file:
```
4
Lattice="-1.7211 6.0159 2.8057 1.7211 -6.0159 2.8057 1.7211 6.0159 -2.8057" Properties=species:S:1:pos:R:3 pbc="T T T"
Na 0.0000 0.0000 0.0000
Na 1.7211 3.5106 0.0280
Na 0.0000 2.5053 2.8337
Ag 1.7211 0.0000 2.7937
```



K2TiVPt: relaxed, GGA-PBE.

Summary:
Space group: P4/mmm, No. 123
Energy of formation from the pure elements (eV/atom): 1.32

extended XYZ file:
```
5
Lattice="6.0409 0.0000 0.0000 0.0000 6.0409 0.0000 0.0000 0.0000 4.9100" Properties=species:S:1:pos:R:3 pbc="T T T"
K 0.0000 3.0205 0.0000
K 3.0205 0.0000 0.0000
Ti 0.0000 0.0000 2.4550
V 3.0205 3.0205 2.4550
Pt 0.0000 0.0000 0.0000
```



Tl3CrNi: relaxed, GGA-PBE.

Summary:
Space group: Pm-3m, No. 221
Energy of formation from the pure elements (eV/atom): 0.56

extended XYZ file:
```
5
Lattice="5.0870 0.0000 0.0000 0.0000 5.0870 0.0000 0.0000 0.0000 5.0870" Properties=species:S:1:pos:R:3 pbc="T T T"
Tl 0.0000 0.0000 2.5435
Tl 0.0000 2.5435 0.0000
Tl 2.5435 0.0000 0.0000
Cr 2.5435 2.5435 2.5435
Ni 0.0000 0.0000 0.0000
```



Cu7Hg6: relaxed, GGA-PBE.

Summary:
Space group: R-3m, No. 166
Energy of formation from the pure elements (eV/atom): 0.15

extended XYZ file:
```
13
Lattice="2.6774 1.5458 8.9372 -2.6774 1.5458 8.9372 0.0000 -3.0916 8.9372" Properties=species:S:1:pos:R:3 pbc="T T T"
Cu 0.0000 0.0000 0.0000
Cu 0.0000 -1.5921 6.8267
Cu -1.3788 0.7960 6.8267
Cu -1.3788 -0.7960 19.9848
Cu 1.3788 0.7960 6.8267
Cu 1.3788 -0.7960 19.9848
Cu 0.0000 1.5921 19.9848
Hg 0.0000 0.0000 4.5256
Hg 0.0000 0.0000 9.0260
Hg 0.0000 0.0000 11.9280
Hg 0.0000 0.0000 14.8835
Hg 0.0000 0.0000 17.7855
Hg 0.0000 0.0000 22.2860
```



DySnRh4: relaxed, GGA-PBE.

Summary:
Space group: Pmmm, No. 47
Energy of formation from the pure elements (eV/atom): -0.22

extended XYZ file:
```
6
Lattice="3.0457 0.0000 0.0000 0.0000 4.5406 0.0000 0.0000 0.0000 7.8794" Properties=species:S:1:pos:R:3 pbc="T T T"
Dy 0.0000 0.0000 0.0000
Sn 1.5228 2.2703 3.9397
Rh 0.0000 2.2703 1.7422
Rh 0.0000 2.2703 6.1372
Rh 1.5228 0.0000 2.3472
Rh 1.5228 0.0000 5.5322
```



Calculated volume readings, ordered: 256.6 125.6 151.8 118.4 199.6 125.9 208.0 116.2 179.2 131.6 221.9 109.0 Å³/cell